# SrLaGa, optimized geometry, DFT PBE
# total magnetization = 0.00 Bohr magnetons per cell
# ρ = 4.43 g cm⁻³
# distance to the lowest polymorph of the same formula = 24 kJ/mol of formula units
# E_form = -0.29 eV per atom
data_SrLaGa
_space_group_name_H-M_alt 'P 1'
_space_group_IT_number 1
_space_group_name_Hall 'P 1'
_cell_length_a 5.175
_cell_length_b 5.175
_cell_length_c 9.575
_cell_angle_alpha 90.00
_cell_angle_beta 90.00
_cell_angle_gamma 120.00
loop_
_atom_site_label
_atom_site_type_symbol
_atom_site_fract_x
_atom_site_fract_y
_atom_site_fract_z
_atom_site_occupancy
Sr1 Sr 0.333 0.667 0.163 1
Sr2 Sr 0.667 0.333 0.837 1
La1 La 0.333 0.667 0.583 1
La2 La 0.667 0.333 0.417 1
Ga1 Ga 0.000 0.000 0.353 1
Ga2 Ga 0.000 0.000 0.647 1

# K2LiZrS4, optimized geometry, DFT PBE
# total magnetization = 1.63 Bohr magnetons per cell
# ρ = 2.60 g cm⁻³
# formation energy without anion corrections = -1.213 eV per atom
data_K2LiZrS4
_space_group_name_H-M_alt 'P 1'
_space_group_IT_number 1
_space_group_name_Hall 'P 1'
_cell_length_a 8.312
_cell_length_b 8.312
_cell_length_c 8.312
_cell_angle_alpha 126.62
_cell_angle_beta 117.57
_cell_angle_gamma 86.59
loop_
_atom_site_label
_atom_site_type_symbol
_atom_site_fract_x
_atom_site_fract_y
_atom_site_fract_z
_atom_site_occupancy
K1 K 0.000 0.000 0.000 1
K2 K 0.500 0.000 0.000 1
K3 K 0.500 0.000 0.500 1
K4 K 0.500 0.500 0.500 1
Li1 Li 0.000 0.500 0.500 1
Li2 Li 0.500 0.500 0.000 1
Zr1 Zr 0.000 0.000 0.500 1
Zr2 Zr 0.000 0.500 0.000 1
S1 S 0.201 0.245 0.956 1
S2 S 0.212 0.755 0.456 1
S3 S 0.217 0.279 0.562 1
S4 S 0.217 0.656 0.938 1
S5 S 0.783 0.344 0.062 1
S6 S 0.783 0.721 0.438 1
S7 S 0.788 0.245 0.544 1
S8 S 0.799 0.755 0.044 1

# Al2PbS, optimized geometry, DFT PBE
# total magnetization = 0.00 Bohr magnetons per cell
# ρ = 5.83 g cm⁻³
# distance to the lowest polymorph of the same formula = 166 kJ/mol of formula units
# formation energy without anion corrections = 0.297 eV per atom
data_Al2PbS
_space_group_name_H-M_alt 'P 1'
_space_group_IT_number 1
_space_group_name_Hall 'P 1'
_cell_length_a 4.907
_cell_length_b 4.907
_cell_length_c 4.907
_cell_angle_alpha 60.00
_cell_angle_beta 60.00
_cell_angle_gamma 60.00
loop_
_atom_site_label
_atom_site_type_symbol
_atom_site_fract_x
_atom_site_fract_y
_atom_site_fract_z
_atom_site_occupancy
Al1 Al 0.250 0.250 0.250 1
Al2 Al 0.750 0.750 0.750 1
Pb1 Pb 0.000 0.000 0.000 1
S1 S 0.500 0.500 0.500 1

# Sc2TeI, optimized geometry, DFT PBE
# total magnetization = 0.00 Bohr magnetons per cell
# ρ = 5.96 g cm⁻³
# distance to the lowest polymorph of the same formula = 28 kJ/mol of formula units
# formation energy without anion corrections = -0.713 eV per atom
data_Sc2TeI
_space_group_name_H-M_alt 'P 1'
_space_group_IT_number 1
_space_group_name_Hall 'P 1'
_cell_length_a 5.140
_cell_length_b 5.140
_cell_length_c 5.140
_cell_angle_alpha 60.00
_cell_angle_beta 60.00
_cell_angle_gamma 60.00
loop_
_atom_site_label
_atom_site_type_symbol
_atom_site_fract_x
_atom_site_fract_y
_atom_site_fract_z
_atom_site_occupancy
Sc1 Sc 0.250 0.250 0.250 1
Sc2 Sc 0.750 0.750 0.750 1
Te1 Te 0.000 0.000 0.000 1
I1 I 0.500 0.500 0.500 1

# PmPr6Pb, optimized geometry, DFT PBE
# total magnetization = 0.00 Bohr magnetons per cell
# ρ = 7.32 g cm⁻³
# E_form = -0.15 eV per atom
data_PmPr6Pb
_space_group_name_H-M_alt 'P 1'
_space_group_IT_number 1
_space_group_name_Hall 'P 1'
_cell_length_a 5.077
_cell_length_b 5.077
_cell_length_c 10.549
_cell_angle_alpha 90.00
_cell_angle_beta 90.00
_cell_angle_gamma 90.00
loop_
_atom_site_label
_atom_site_type_symbol
_atom_site_fract_x
_atom_site_fract_y
_atom_site_fract_z
_atom_site_occupancy
Pm1 Pm 0.000 0.000 0.000 1
Pr1 Pr 0.000 0.500 0.257 1
Pr2 Pr 0.000 0.500 0.743 1
Pr3 Pr 0.500 0.000 0.257 1
Pr4 Pr 0.500 0.000 0.743 1
Pr5 Pr 0.500 0.500 0.000 1
Pr6 Pr 0.500 0.500 0.500 1
Pb1 Pb 0.000 0.000 0.500 1

# Dy5Tl2Ir2, optimized geometry, DFT PBE
# total magnetization = 0.00 Bohr magnetons per cell
# ρ = 11.21 g cm⁻³
# E_form = -0.60 eV per atom
data_Dy5Tl2Ir2
_space_group_name_H-M_alt 'P 1'
_space_group_IT_number 1
_space_group_name_Hall 'P 1'
_cell_length_a 9.028
_cell_length_b 9.028
_cell_length_c 7.579
_cell_angle_alpha 90.00
_cell_angle_beta 90.00
_cell_angle_gamma 50.37
loop_
_atom_site_label
_atom_site_type_symbol
_atom_site_fract_x
_atom_site_fract_y
_atom_site_fract_z
_atom_site_occupancy
Dy1 Dy 0.000 0.000 0.000 1
Dy2 Dy 0.054 0.718 0.663 1
Dy3 Dy 0.218 0.554 0.163 1
Dy4 Dy 0.282 0.946 0.663 1
Dy5 Dy 0.446 0.782 0.163 1
Dy6 Dy 0.500 0.500 0.500 1
Dy7 Dy 0.554 0.218 0.837 1
Dy8 Dy 0.718 0.054 0.337 1
Dy9 Dy 0.782 0.446 0.837 1
Dy10 Dy 0.946 0.282 0.337 1
Tl1 Tl 0.219 0.219 0.000 1
Tl2 Tl 0.281 0.281 0.500 1
Tl3 Tl 0.719 0.719 0.500 1
Tl4 Tl 0.781 0.781 0.000 1
Ir1 Ir 0.134 0.866 0.363 1
Ir2 Ir 0.366 0.634 0.863 1
Ir3 Ir 0.634 0.366 0.137 1
Ir4 Ir 0.866 0.134 0.637 1

# CaReSe2N, optimized geometry, DFT PBE
# total magnetization = 1.08 Bohr magnetons per cell
# ρ = 6.51 g cm⁻³
# distance to the lowest polymorph of the same formula = 0 kJ/mol of formula units
# formation energy without anion corrections = -0.454 eV per atom
data_CaReSe2N
_space_group_name_H-M_alt 'P 1'
_space_group_IT_number 1
_space_group_name_Hall 'P 1'
_cell_length_a 5.182
_cell_length_b 5.182
_cell_length_c 3.785
_cell_angle_alpha 90.00
_cell_angle_beta 90.00
_cell_angle_gamma 90.00
loop_
_atom_site_label
_atom_site_type_symbol
_atom_site_fract_x
_atom_site_fract_y
_atom_site_fract_z
_atom_site_occupancy
Ca1 Ca 0.000 0.000 0.000 1
Re1 Re 0.500 0.500 0.500 1
Se1 Se 0.000 0.500 0.500 1
Se2 Se 0.500 0.000 0.500 1
N1 N 0.500 0.500 0.000 1

# Nd3Dy6Y2Zr, optimized geometry, DFT PBE
# total magnetization = 0.00 Bohr magnetons per cell
# ρ = 7.36 g cm⁻³
# E_form = 0.05 eV per atom
data_Nd3Dy6Y2Zr
_space_group_name_H-M_alt 'P 1'
_space_group_IT_number 1
_space_group_name_Hall 'P 1'
_cell_length_a 6.149
_cell_length_b 6.149
_cell_length_c 11.726
_cell_angle_alpha 94.99
_cell_angle_beta 94.99
_cell_angle_gamma 119.93
loop_
_atom_site_label
_atom_site_type_symbol
_atom_site_fract_x
_atom_site_fract_y
_atom_site_fract_z
_atom_site_occupancy
Nd1 Nd 0.000 0.000 0.000 1
Nd2 Nd 0.334 0.666 0.000 1
Nd3 Nd 0.666 0.334 0.000 1
Dy1 Dy 0.094 0.420 0.258 1
Dy2 Dy 0.255 0.255 0.742 1
Dy3 Dy 0.420 0.094 0.258 1
Dy4 Dy 0.580 0.906 0.742 1
Dy5 Dy 0.745 0.745 0.258 1
Dy6 Dy 0.906 0.580 0.742 1
Y1 Y 0.167 0.833 0.500 1
Y2 Y 0.833 0.167 0.500 1
Zr1 Zr 0.500 0.500 0.500 1